VASP calculation (PBE) on a relaxed structure of AcMgAg2Te4.

Output
* formation energy without anion corrections: -0.675 eV per atom
* M_tot: 0.00 Bohr magnetons per cell
* calculated total energy: -3.672 eV per atom

Lattice parameters (Å, degrees): 7.673 6.866 6.866 68.36 56.03 56.03
Positions (direct):
Ac 0.000 0.000 0.000
Mg 0.500 0.500 0.500
Ag 0.184 0.316 0.316
Ag 0.816 0.684 0.684
Te 0.477 0.097 0.527
Te 0.101 0.903 0.473
Te 0.899 0.527 0.097
Te 0.523 0.473 0.903